one:
Crystalline YZnInTe3 at its relaxed geometry, computed with PBE.

a = 10.0086 Å, b = 10.0086 Å, c = 9.2092 Å
α = 102.41°, β = 102.41°, γ = 25.03°
With the nearest neighbours (Å) after each atom.
Atoms (fractional coordinates):
1 Te 0.3235 0.3235 0.1816  1 Zn 2.70
2 In 0.8688 0.8688 0.9293  7 Te 3.31-3.67
3 Te 0.3312 0.3312 0.6514  3 Y 3.03-3.04, 2 In 3.31
4 Y 0.8284 0.8284 0.4200  6 Te 3.03-3.27
5 Zn 0.4641 0.4641 0.2782  4 Te 2.70-2.96
6 Te 0.6765 0.6765 0.8184  1 Zn 2.70
7 Te 0.0000 0.0000 0.5000  4 Zn 2.96, 2 Y 3.27
8 Y 0.1716 0.1716 0.5800  6 Te 3.03-3.27
9 Te 0.5000 0.5000 0.0000  2 Zn 2.80
10 Zn 0.5359 0.5359 0.7218  4 Te 2.70-2.96
11 In 0.1312 0.1312 0.0707  7 Te 3.31-3.67
12 Te 0.6688 0.6688 0.3486  3 Y 3.03-3.04, 2 In 3.31

Values from the calculation:
size of the total moment	0.0	Bohr magnetons per cell

---

two:
Crystalline YZnInTe3 at its relaxed geometry, computed with PBE.

a = 12.5073 Å, b = 4.5027 Å, c = 13.0434 Å
α = 90.00°, β = 90.00°, γ = 90.00°
With the nearest neighbours (Å) after each atom.
Atoms (fractional coordinates):
1 Zn 0.2428 0.5000 0.8009  4 Te 2.66-2.72
2 Te 0.5975 0.0000 0.0627  1 Zn 2.67
3 Y 0.4769 0.5000 0.1841  7 Te 3.14-3.51
4 In 0.1812 0.0000 0.9937  7 Te 3.38-3.64, 2 Zn 3.46
5 In 0.6812 0.0000 0.5063  7 Te 3.38-3.64, 2 Zn 3.46
6 In 0.8188 0.5000 0.0063  7 Te 3.38-3.64, 2 Zn 3.46
7 Te 0.5367 0.5000 0.6473  1 Zn 2.66
8 Te 0.4633 0.0000 0.3527  1 Zn 2.66
9 Te 0.0367 0.5000 0.8527  1 Zn 2.66
10 Y 0.0231 0.0000 0.6841  7 Te 3.14-3.51
11 Te 0.2235 0.5000 0.1882  2 Zn 2.72
12 Y 0.9769 0.5000 0.3159  7 Te 3.14-3.51
13 In 0.3188 0.5000 0.4937  7 Te 3.38-3.64, 2 Zn 3.46
14 Te 0.9025 0.5000 0.5627  1 Zn 2.67
15 Te 0.9633 0.0000 0.1473  1 Zn 2.66
16 Zn 0.7572 0.0000 0.1991  4 Te 2.66-2.72
17 Zn 0.7428 0.5000 0.6991  4 Te 2.66-2.72
18 Te 0.7235 0.5000 0.3118  2 Zn 2.72
19 Te 0.0975 0.0000 0.4373  1 Zn 2.67
20 Zn 0.2572 0.0000 0.3009  4 Te 2.66-2.72
21 Te 0.2765 0.0000 0.6882  2 Zn 2.72
22 Y 0.5231 0.0000 0.8159  7 Te 3.14-3.51
23 Te 0.4025 0.5000 0.9373  1 Zn 2.67
24 Te 0.7765 0.0000 0.8118  2 Zn 2.72

Values from the calculation:
size of the total moment	0.0	Bohr magnetons per cell

---

three:
Crystalline YZnInTe3 at its relaxed geometry, computed with PBE.

a = 4.3289 Å, b = 7.9678 Å, c = 11.5262 Å
α = 90.00°, β = 90.00°, γ = 74.24°
With the nearest neighbours (Å) after each atom.
Atoms (fractional coordinates):
1 Te 0.3633 0.2733 0.9382  1 Zn 2.67
2 Te 0.0753 0.8493 0.7500  2 Zn 2.75
3 Te 0.6367 0.7267 0.4382  1 Zn 2.67
4 Zn 0.4651 0.0698 0.7500  4 Te 2.67-2.75
5 Y 0.0000 0.0000 0.0000  6 Te 3.10
6 Te 0.6367 0.7267 0.0618  1 Zn 2.67
7 Y 0.0000 0.0000 0.5000  6 Te 3.10
8 Te 0.3633 0.2733 0.5618  1 Zn 2.67
9 In 0.7570 0.4860 0.7500  6 Te 3.47-3.53, 2 Zn 3.86
10 In 0.2430 0.5140 0.2500  6 Te 3.47-3.53, 2 Zn 3.86
11 Te 0.9247 0.1507 0.2500  2 Zn 2.75
12 Zn 0.5349 0.9302 0.2500  4 Te 2.67-2.75

Values from the calculation:
size of the total moment	0.0	Bohr magnetons per cell

---

four:
Crystalline YZnInTe3 at its relaxed geometry, computed with PBE.

a = 15.5303 Å, b = 4.3499 Å, c = 11.6948 Å
α = 90.00°, β = 90.00°, γ = 90.00°
With the nearest neighbours (Å) after each atom.
Atoms (fractional coordinates):
1 Te 0.8957 0.7500 0.9209  3 Y 3.05-3.10, 2 In 3.29
2 Y 0.9757 0.7500 0.1591  6 Te 3.05-3.18
3 Y 0.5243 0.2500 0.6591  6 Te 3.05-3.18
4 Te 0.3957 0.7500 0.5791  3 Y 3.05-3.10, 2 In 3.29
5 Te 0.1043 0.2500 0.0791  3 Y 3.05-3.10, 2 In 3.29
6 Te 0.0890 0.7500 0.3856  3 Zn 2.73-2.75
7 In 0.7603 0.7500 0.4628  6 Te 3.29-3.65
8 Te 0.4110 0.2500 0.8856  3 Zn 2.73-2.75
9 Te 0.6043 0.2500 0.4209  3 Y 3.05-3.10, 2 In 3.29
10 Te 0.6481 0.7500 0.7501  1 Zn 2.68
11 Y 0.4757 0.7500 0.3409  6 Te 3.05-3.18
12 In 0.2397 0.2500 0.5372  6 Te 3.29-3.65
13 Y 0.0243 0.2500 0.8409  6 Te 3.05-3.18
14 Te 0.9110 0.2500 0.6144  3 Zn 2.73-2.75
15 Zn 0.4830 0.2500 0.1007  4 Te 2.68-2.75
16 Te 0.8519 0.2500 0.2501  1 Zn 2.68
17 Te 0.1481 0.7500 0.7499  1 Zn 2.68
18 Te 0.3519 0.2500 0.2499  1 Zn 2.68
19 Te 0.5890 0.7500 0.1144  3 Zn 2.73-2.75
20 Zn 0.9830 0.2500 0.3993  4 Te 2.68-2.75
21 In 0.7397 0.2500 0.9628  6 Te 3.29-3.65
22 Zn 0.0170 0.7500 0.6007  4 Te 2.68-2.75
23 Zn 0.5170 0.7500 0.8993  4 Te 2.68-2.75
24 In 0.2603 0.7500 0.0372  6 Te 3.29-3.65

Values from the calculation:
size of the total moment	0.0	Bohr magnetons per cell

---

Pick three: it beats the second-best structure by 0.015 eV/atom.